Record 1
Y2TlCd | PBEsol | optimized geometry Values from VASP.

Structure (Quantum ESPRESSO input):
```
&SYSTEM
  ibrav = 0, nat = 4, ntyp = 3
/
ATOMIC_SPECIES
Y 88.91 Y.upf
Cd 112.41 Cd.upf
Tl 204.38 Tl.upf
CELL_PARAMETERS angstrom
-1.9419 2.2756 -2.2821
2.6409 -1.6897 -3.9322
-4.0198 -4.2094 2.3251
ATOMIC_POSITIONS angstrom
Y -3.2787 -3.5785 -3.8802
Y -2.8850 -0.9046 -1.5489
Cd 0.2277 0.1631 -3.1331
Tl -0.3563 -2.6340 -2.3234
```

Output
- Energy of formation: -338 meV/atom
- DFT total energy: -18.822 eV per cell

Record 2
ZrMnN2O | PBEsol | optimized geometry Values from VASP.

Structure (Quantum ESPRESSO input):
```
&SYSTEM
  ibrav = 0, nat = 5, ntyp = 4
/
ATOMIC_SPECIES
O 16.00 O.upf
Mn 54.94 Mn.upf
N 14.01 N.upf
Zr 91.22 Zr.upf
CELL_PARAMETERS angstrom
3.5815 0.0000 0.0000
0.0000 3.6974 0.0000
0.0000 0.0000 3.6974
ATOMIC_POSITIONS angstrom
O 1.7907 0.0000 0.0000
Mn 0.0000 0.0000 0.0000
N 0.0000 1.8487 0.0000
N 0.0000 0.0000 1.8487
Zr 1.7907 1.8487 1.8487
```

Output
- Energy relative to the elements, uncorrected: -910 meV/atom
- DFT total energy: -45.704 eV per cell

Record 3
YTcIr2 | PBEsol | optimized geometry Values from VASP.

Structure (Quantum ESPRESSO input):
```
&SYSTEM
  ibrav = 0, nat = 4, ntyp = 3
/
ATOMIC_SPECIES
Ir 192.22 Ir.upf
Tc 98.00 Tc.upf
Y 88.91 Y.upf
CELL_PARAMETERS angstrom
-1.4454 1.9560 -1.4434
-2.3746 0.4955 3.0494
3.6827 4.3197 2.1659
ATOMIC_POSITIONS angstrom
Ir -0.9104 2.3983 1.3909
Ir 0.0840 0.0986 0.0494
Tc 1.6301 1.9120 0.9587
Y 0.9003 4.5222 2.4558
```

Output
- Energy of formation: -40 meV/atom
- DFT total energy: -37.897 eV per cell
- Energy above the most stable polymorph in this dataset: 0.1362 eV/atom

Record 4
Hg5Au6 | PBEsol | optimized geometry Values from VASP.

Structure (Quantum ESPRESSO input):
```
&SYSTEM
  ibrav = 0, nat = 22, ntyp = 2
/
ATOMIC_SPECIES
Hg 200.59 Hg.upf
Au 196.97 Au.upf
CELL_PARAMETERS angstrom
-0.8241 -4.4686 5.3218
-2.7960 -1.4478 -6.2495
8.5292 -4.7946 -2.7053
ATOMIC_POSITIONS angstrom
Hg 5.9132 -6.2192 1.0950
Hg 4.9019 -6.0393 -2.4121
Hg 4.7555 -4.4458 -5.6975
Hg -1.4814 -3.4617 1.4647
Hg 0.0072 -4.6717 -1.2209
Hg 1.7920 -3.0441 1.5215
Hg 2.7832 -5.8590 0.1121
Hg 0.9776 -1.7966 -3.2572
Hg -2.1387 -2.4547 -2.3924
Hg 2.1259 -4.8520 -3.7450
Au 5.0064 -4.0001 -0.3712
Au -1.1839 -1.6280 -5.0450
Au 2.4548 -7.4196 -2.3554
Au 6.9170 -4.6144 -3.9098
Au 1.2009 -2.9686 -5.8014
Au 2.6988 -5.2632 2.9877
Au 0.0695 -1.9509 -0.5212
Au 0.3140 -3.9226 3.7441
Au 4.8396 -8.7601 -3.1118
Au 7.3911 -5.3407 -1.1276
Au 2.4543 -3.2915 -1.2776
Au 4.5322 -3.2738 -3.1534
```

Output
- Energy of formation: -12 meV/atom
- DFT total energy: -53.011 eV per cell

Record 5
TlOsCl3 | PBEsol | optimized geometry Values from VASP.

Structure (Quantum ESPRESSO input):
```
&SYSTEM
  ibrav = 0, nat = 5, ntyp = 3
/
ATOMIC_SPECIES
Cl 35.45 Cl.upf
Os 190.23 Os.upf
Tl 204.38 Tl.upf
CELL_PARAMETERS angstrom
4.7855 0.0000 0.0000
0.0000 4.7855 0.0000
0.0000 0.0000 4.7855
ATOMIC_POSITIONS angstrom
Cl 0.0000 0.0000 2.3927
Cl 0.0000 2.3927 0.0000
Cl 2.3927 0.0000 0.0000
Os 0.0000 0.0000 0.0000
Tl 2.3927 2.3927 2.3927
```

Output
- Energy relative to the elements, uncorrected: -74 meV/atom
- DFT total energy: -21.240 eV per cell

Record 6
MgSnP2O7 | PBEsol | optimized geometry Values from VASP.

Structure (Quantum ESPRESSO input):
```
&SYSTEM
  ibrav = 0, nat = 22, ntyp = 4
/
ATOMIC_SPECIES
O 16.00 O.upf
P 30.97 P.upf
Mg 24.30 Mg.upf
Sn 118.71 Sn.upf
CELL_PARAMETERS angstrom
6.4610 0.0248 -0.1052
2.5828 6.0891 -0.1261
0.4515 0.0872 6.6104
ATOMIC_POSITIONS angstrom
O 6.1517 1.5822 0.3750
O 6.7974 6.0920 1.9348
O 7.8712 3.9202 1.1777
O 5.8901 1.2083 4.5592
O 3.5586 2.6009 0.9560
O 5.8583 3.7950 2.6219
O 1.6242 2.2808 5.2015
O 3.6370 2.4060 3.7573
O 1.4390 1.5365 2.7845
O 5.9368 3.6001 5.4231
O 8.0563 4.6645 3.5947
O 2.6980 0.1090 4.4444
O 3.6053 4.9927 1.8199
O 3.3436 4.6188 6.0042
P 7.1035 4.6551 2.3981
P 2.3919 1.5459 3.9811
P 2.9753 4.0004 0.8374
P 6.5201 2.2006 5.5417
Mg 5.1118 1.9006 2.1953
Mg 4.3836 4.3003 4.1839
Sn 7.4974 5.5620 5.4691
Sn 1.9980 0.6390 0.9101
```

Output
- Energy relative to the elements, uncorrected: -2205 meV/atom
- DFT total energy: -157.115 eV per cell
- Energy above the most stable polymorph in this dataset: 0.0189 eV/atom

Record 7
Zr3TlGa | PBEsol | optimized geometry Values from VASP.

Structure (Quantum ESPRESSO input):
```
&SYSTEM
  ibrav = 0, nat = 5, ntyp = 3
/
ATOMIC_SPECIES
Zr 91.22 Zr.upf
Tl 204.38 Tl.upf
Ga 69.72 Ga.upf
CELL_PARAMETERS angstrom
4.9522 0.0000 0.0000
0.0000 4.9522 0.0000
0.0000 0.0000 4.9522
ATOMIC_POSITIONS angstrom
Zr 0.0000 2.4761 0.0000
Zr 2.4761 0.0000 0.0000
Zr 0.0000 0.0000 2.4761
Tl 2.4761 2.4761 2.4761
Ga 0.0000 0.0000 0.0000
```

Output
- Energy of formation: 253 meV/atom
- DFT total energy: -31.976 eV per cell

Record 8
TbB2Ru | PBEsol | optimized geometry Values from VASP.

Structure (Quantum ESPRESSO input):
```
&SYSTEM
  ibrav = 0, nat = 16, ntyp = 3
/
ATOMIC_SPECIES
Tb 158.93 Tb.upf
B 10.81 B.upf
Ru 101.07 Ru.upf
CELL_PARAMETERS angstrom
5.2889 0.0000 0.0000
0.0000 5.8545 0.0000
0.0000 0.0000 6.3043
ATOMIC_POSITIONS angstrom
Tb 3.9667 5.8057 2.1306
Tb 1.3222 0.0488 4.1738
Tb 3.9667 2.8784 1.0216
Tb 1.3222 2.9760 5.2827
B 0.4399 5.0874 0.2554
B 4.8490 3.6943 3.4076
B 0.4399 2.1602 2.8968
B 3.0843 0.7670 6.0489
B 2.2046 5.0874 0.2554
B 2.2046 2.1602 2.8968
B 3.0843 3.6943 3.4076
B 4.8490 0.7670 6.0489
Ru 3.9667 1.8615 4.2978
Ru 1.3222 1.0658 1.1457
Ru 3.9667 4.7887 5.1587
Ru 1.3222 3.9930 2.0065
```

Output
- Energy of formation: -635 meV/atom
- DFT total energy: -127.018 eV per cell

Record 9
UCoB4 | PBEsol | optimized geometry Values from VASP.

Structure (Quantum ESPRESSO input):
```
&SYSTEM
  ibrav = 0, nat = 24, ntyp = 3
/
ATOMIC_SPECIES
B 10.81 B.upf
U 238.03 U.upf
Co 58.93 Co.upf
CELL_PARAMETERS angstrom
3.3021 0.0000 0.0000
0.0000 5.8536 0.0000
0.0000 0.0000 11.3618
ATOMIC_POSITIONS angstrom
B 1.6511 5.1884 5.1527
B 1.6511 3.7131 6.0709
B 1.6511 0.1509 7.8714
B 1.6511 4.5844 2.1260
B 1.6511 3.0777 9.1713
B 1.6511 2.2616 0.5282
B 1.6511 5.7027 3.4904
B 1.6511 3.5920 10.8336
B 1.6511 0.6652 6.2090
B 1.6511 2.7759 2.1905
B 1.6511 0.7863 10.9718
B 1.6511 1.2692 9.2358
B 1.6511 5.0673 0.3900
B 1.6511 1.6576 3.5549
B 1.6511 2.1405 5.2909
B 1.6511 4.1960 7.8069
U 0.0000 3.6694 3.9695
U 0.0000 2.1842 7.3923
U 0.0000 0.7426 1.7114
U 0.0000 5.1110 9.6504
Co 0.0000 5.0910 6.6588
Co 0.0000 3.6893 0.9780
Co 0.0000 0.7626 4.7029
Co 0.0000 2.1642 10.3838
```

Output
- Energy of formation: -552 meV/atom
- DFT total energy: -205.080 eV per cell

Record 10
Sr7HfN6 | PBEsol | optimized geometry Values from VASP.

Structure (Quantum ESPRESSO input):
```
&SYSTEM
  ibrav = 0, nat = 56, ntyp = 3
/
ATOMIC_SPECIES
Sr 87.62 Sr.upf
Hf 178.49 Hf.upf
N 14.01 N.upf
CELL_PARAMETERS angstrom
6.7043 0.0000 0.0000
0.0000 11.9921 0.0000
0.0000 0.0000 13.7615
ATOMIC_POSITIONS angstrom
Sr 5.6393 2.7829 8.6687
Sr 4.0966 3.4055 12.1655
Sr 5.1776 5.5318 6.6999
Sr 2.2871 8.7790 11.9735
Sr 5.9598 9.4015 1.5960
Sr 2.6076 3.4055 5.2847
Sr 1.5266 5.5318 13.5806
Sr 1.0650 2.7829 1.7880
Sr 0.7445 2.5905 12.1655
Sr 4.4171 3.2131 1.7880
Sr 1.0650 9.2091 5.0928
Sr 2.2871 3.2131 8.6687
Sr 1.8255 11.5278 0.1809
Sr 4.8788 0.4643 13.5806
Sr 4.4171 8.7790 5.0928
Sr 5.1776 6.4603 0.1809
Sr 2.6076 8.5866 1.5960
Sr 0.2429 5.9960 3.4404
Sr 6.4613 5.9960 10.3211
Sr 4.8788 11.5278 7.0616
Sr 0.7445 9.4015 8.4767
Sr 3.1092 0.0000 10.3211
Sr 5.9598 2.5905 5.2847
Sr 1.8255 0.4643 6.6999
Sr 3.5951 0.0000 3.4404
Sr 4.0966 8.5866 8.4767
Sr 5.6393 9.2091 11.9735
Sr 1.5266 6.4603 7.0616
Hf 6.4502 0.0000 10.3211
Hf 3.0981 5.9960 10.3211
Hf 3.6061 5.9960 3.4404
Hf 0.2540 0.0000 3.4404
N 6.0606 4.0644 0.0634
N 4.3406 6.9467 11.6362
N 6.0606 7.9277 6.8173
N 5.2075 1.4625 11.0992
N 5.7158 0.9507 2.1252
N 5.7158 11.0414 4.7555
N 2.3637 5.0454 2.1252
N 0.6436 7.9277 13.6981
N 4.3406 5.0454 9.0060
N 1.8554 7.4585 9.5431
N 5.2075 10.5296 9.5431
N 2.7085 10.0604 6.8173
N 3.9958 1.9317 6.9441
N 4.8489 4.5336 4.2184
N 2.3637 6.9467 4.7555
N 4.8489 7.4585 2.6623
N 2.7085 1.9317 0.0634
N 0.9885 11.0414 11.6362
N 1.4968 10.5296 2.6623
N 3.9958 10.0604 13.6981
N 0.9885 0.9507 9.0060
N 1.4968 1.4625 4.2184
N 0.6436 4.0644 6.9441
N 1.8554 4.5336 11.0992
```

Output
- Energy relative to the elements, uncorrected: -904 meV/atom
- DFT total energy: -348.825 eV per cell

Record 11
SnTeAu3 | PBEsol | optimized geometry Values from VASP.

Structure (Quantum ESPRESSO input):
```
&SYSTEM
  ibrav = 0, nat = 5, ntyp = 3
/
ATOMIC_SPECIES
Te 127.60 Te.upf
Au 196.97 Au.upf
Sn 118.71 Sn.upf
CELL_PARAMETERS angstrom
5.1626 0.0000 0.0000
0.0000 5.1626 0.0000
0.0000 0.0000 5.1626
ATOMIC_POSITIONS angstrom
Te 0.0000 0.0000 0.0000
Au 0.0000 2.5813 0.0000
Au 0.0000 0.0000 2.5813
Au 2.5813 0.0000 0.0000
Sn 2.5813 2.5813 2.5813
```

Output
- Energy relative to the elements, uncorrected: 620 meV/atom
- DFT total energy: -16.459 eV per cell

Record 12
LaTb3 | PBEsol | optimized geometry Values from VASP.

Structure (Quantum ESPRESSO input):
```
&SYSTEM
  ibrav = 0, nat = 8, ntyp = 2
/
ATOMIC_SPECIES
Tb 158.93 Tb.upf
La 138.91 La.upf
CELL_PARAMETERS angstrom
5.6825 0.0000 0.0000
0.0000 7.1534 0.0000
0.0000 -3.5767 6.1950
ATOMIC_POSITIONS angstrom
Tb 4.2619 1.7766 1.0257
Tb 1.4206 -1.8001 5.1693
Tb 1.4206 0.0000 2.0514
Tb 1.4206 1.8001 5.1693
Tb 4.2619 5.3768 1.0257
Tb 4.2619 3.5767 4.1436
La 1.4206 3.5767 2.0650
La 4.2619 0.0000 4.1300
```

Output
- Energy of formation: 37 meV/atom
- DFT total energy: -40.454 eV per cell

For reference, V by record: 102.64; 48.96; 66.95; 430.52; 109.59; 259.98; 121.45; 195.21; 219.61; 1106.39; 137.59; 251.82 Å³ per cell.